The following is a DFT calculation (PBE-GGA) of a relaxed structure of RbBi4Au.

Computed properties:
- calculated volume (A^3/atom) = 37.158
- Fermi-level density of states (states/eV/cell) = 5.6
- total magnetization (Bohr magnetons per cell) = 0.000
- E (eV/f.u.) = -20.45
- SG = C2/m, No. 12

Cell: 8.0345 7.1177 8.6153 Å, 114.40 84.18 90.00°
Closest atoms and distances in Å follow each position.
Positions (direct):
Rb  0.8500  0.7939  0.5879  3 Au 3.57-3.85, 1 Bi 3.83
Rb  0.1500  0.2061  0.4121  3 Au 3.57-3.85, 1 Bi 3.83
Bi  0.4154  0.7155  0.4311  1 Au 2.77
Bi  0.3900  0.1475  0.8439  4 Bi 3.18-3.24
Bi  0.0000  0.2526  0.0000  2 Au 2.88
Bi  0.6100  0.3036  0.1561  4 Bi 3.18-3.24
Bi  0.5846  0.2845  0.5689  1 Au 2.77
Bi  0.6100  0.8524  0.1561  4 Bi 3.18-3.24
Bi  0.0000  0.7474  0.0000  2 Au 2.88
Bi  0.3900  0.6964  0.8439  4 Bi 3.18-3.24
Au  0.1587  0.6118  0.2236  3 Bi 2.77-2.88
Au  0.8413  0.3882  0.7764  3 Bi 2.77-2.88